Entry 1:
Density functional theory data (PBE) for a relaxed structure of Er5InAu.

Output
* E_form: -239 meV/atom
* magnetization: 0.0 μB per formula unit
* density: 9.3 g/cm³
* final energy: -122.0 eV per cell

Cell lengths 8.950, 9.242, 9.916 Å; angles 90.00, 94.35, 90.00 degrees
Space group C2/c (No. 15)
One atom of each set of equivalent atoms:
Er (0.000, 0.140, 0.250) [4 per cell]
Er (0.158, 0.225, 0.658) [8 per cell]
Er (0.186, 0.416, 0.004) [8 per cell]
In (0.000, 0.475, 0.250) [4 per cell]
Au (0.000, 0.000, 0.000) [4 per cell]



Entry 2:
Density functional theory data (PBE) for a relaxed structure of CaGa4Ir2Pd.

Output
* E_form: -500 meV/atom
* magnetization: 0.0 μB per formula unit
* density: 9.6 g/cm³
* final energy: -123.1 eV per cell

Cell lengths 4.2835, 4.2835, 26.4143 Å; angles 90.00, 90.00, 120.00 degrees
Space group R-3m (No. 166, hexagonal axes)
One atom of each set of equivalent atoms:
Ca (0.0000, 0.0000, 0.0000) [3 per cell]
Ga (0.0000, 0.0000, 0.1301) [6 per cell]
Ga (0.0000, 0.0000, 0.4006) [6 per cell]
Ir (0.0000, 0.0000, 0.2345) [6 per cell]
Pd (0.0000, 0.0000, 0.5000) [3 per cell]



Repeat the second record exactly.
Density functional theory data (PBE) for a relaxed structure of CaGa4Ir2Pd.

Output
* E_form: -500 meV/atom
* magnetization: 0.0 μB per formula unit
* density: 9.6 g/cm³
* final energy: -123.1 eV per cell

Cell lengths 4.2835, 4.2835, 26.4143 Å; angles 90.00, 90.00, 120.00 degrees
Space group R-3m (No. 166, hexagonal axes)
One atom of each set of equivalent atoms:
Ca (0.0000, 0.0000, 0.0000) [3 per cell]
Ga (0.0000, 0.0000, 0.1301) [6 per cell]
Ga (0.0000, 0.0000, 0.4006) [6 per cell]
Ir (0.0000, 0.0000, 0.2345) [6 per cell]
Pd (0.0000, 0.0000, 0.5000) [3 per cell]